# 1
Density functional theory data (GGA-PBE) for an optimized crystal structure of HoAl4Pd2Rh.

Summary:
space-group type	R-3m (166)

a b c (Å): 4.2582 4.2582 9.0388
angles (deg): 76.38 76.38 60.00
Last column: nearest neighbours and their distance in Å.
Atoms (fractional coordinates):
Al  0.4024  0.4024  0.7926  1 Rh 2.55, 3 Pd 2.56
Al  0.1340  0.1340  0.5981  3 Rh 2.60, 4 Pd 2.65-2.69
Al  0.5976  0.5976  0.2074  1 Rh 2.55, 3 Pd 2.56
Al  0.8660  0.8660  0.4019  3 Rh 2.60, 4 Pd 2.65-2.69
Pd  0.2369  0.2369  0.2892  7 Al 2.56-2.69
Pd  0.7631  0.7631  0.7108  7 Al 2.56-2.69
Ho  0.0000  0.0000  0.0000  6 Al 3.05
Rh  0.5000  0.5000  0.5000  8 Al 2.55-2.60

---

# 2
Density functional theory data (GGA-PBE) for an optimized crystal structure of Ho2Al5PdRu2.

Summary:
space-group type	P4/mbm (127)

a b c (Å): 3.1502 10.6008 10.6008
angles (deg): 90.00 90.00 90.00
Last column: nearest neighbours and their distance in Å.
Atoms (fractional coordinates):
Ru  0.0000  0.3727  0.1273  6 Al 2.47-2.58
Ru  0.0000  0.6273  0.8727  6 Al 2.47-2.58
Ru  0.0000  0.8727  0.3727  6 Al 2.47-2.58
Ru  0.0000  0.1273  0.6273  6 Al 2.47-2.58
Ho  0.0000  0.8128  0.6872  1 Ru 2.78
Ho  0.0000  0.6872  0.1872  1 Ru 2.78
Ho  0.0000  0.3128  0.8128  1 Ru 2.78
Ho  0.0000  0.1872  0.3128  1 Ru 2.78
Al  0.5000  0.6953  0.4493  2 Ru 2.58, 2 Pd 2.66
Al  0.5000  0.0507  0.8047  2 Ru 2.58, 2 Pd 2.66
Al  0.5000  0.5507  0.6953  2 Ru 2.58, 2 Pd 2.66
Al  0.5000  0.5000  0.0000  4 Ru 2.47
Al  0.5000  0.3047  0.5507  2 Ru 2.58, 2 Pd 2.66
Al  0.5000  0.9493  0.1953  2 Ru 2.58, 2 Pd 2.66
Al  0.5000  0.4493  0.3047  2 Ru 2.58, 2 Pd 2.66
Al  0.5000  0.0000  0.5000  4 Ru 2.47
Al  0.5000  0.1953  0.0507  2 Ru 2.58, 2 Pd 2.66
Al  0.5000  0.8047  0.9493  2 Ru 2.58, 2 Pd 2.66
Pd  0.0000  0.5000  0.5000  8 Al 2.66
Pd  0.0000  0.0000  0.0000  8 Al 2.66

---

Number 1: electronic total energy -43.597 eV for the cell shown, total magnetic moment 0.00 Bohr magnetons per cell, energy of formation -6.312 eV per formula unit. Number 2: electronic total energy -113.970 eV for the cell shown, total magnetic moment 0.00 Bohr magnetons per cell, energy of formation -5.372 eV per formula unit.